(1)
The following is a GGA-PBE calculation of crystalline Ac2Ga3NiRh4 at its relaxed geometry, from Alexandria.

abc: 4.358 4.358 10.295
angles: 90.00 90.00 90.00
Space group P-4m2 (No. 115)
Symmetry-distinct sites (fractional):
Ac  0.000  0.500  0.249 (multiplicity 2)
Ga  0.000  0.000  0.000 (multiplicity 1)
Ga  0.000  0.500  0.622 (multiplicity 2)
Ni  0.500  0.500  0.000 (multiplicity 1)
Rh  0.000  0.000  0.500 (multiplicity 1)
Rh  0.000  0.500  0.870 (multiplicity 2)
Rh  0.500  0.500  0.500 (multiplicity 1)

## Properties
- E_form (eV per atom) = -0.67


(2)
The following is a GGA-PBE calculation of crystalline Ac2Ga4Ni3Rh at its relaxed geometry, from Alexandria.

abc: 4.333 4.333 10.092
angles: 90.00 90.00 90.00
Space group P-4m2 (No. 115)
Symmetry-distinct sites (fractional):
Ac  0.000  0.500  0.249 (multiplicity 2)
Ga  0.000  0.000  0.500 (multiplicity 1)
Ga  0.000  0.500  0.876 (multiplicity 2)
Ga  0.500  0.500  0.500 (multiplicity 1)
Ni  0.000  0.000  0.000 (multiplicity 1)
Ni  0.000  0.500  0.625 (multiplicity 2)
Rh  0.500  0.500  0.000 (multiplicity 1)

## Properties
- E_form (eV per atom) = -0.57


(3)
The following is a GGA-PBE calculation of crystalline Ac2Ga6NiRh at its relaxed geometry, from Alexandria.

abc: 6.762 6.775 9.577
angles: 90.00 90.00 90.00
Space group Immm (No. 71)
Symmetry-distinct sites (fractional):
Ac  0.000  0.000  0.250 (multiplicity 4)
Ga  0.000  0.500  0.243 (multiplicity 4)
Ga  0.243  0.257  0.000 (multiplicity 8)
Ni  0.000  0.500  0.000 (multiplicity 2)
Rh  0.000  0.500  0.500 (multiplicity 2)

## Properties
- E_form (eV per atom) = -0.44


(4)
The following is a GGA-PBE calculation of crystalline Ac2Ga2NiRh at its relaxed geometry, from Alexandria.

abc: 6.237 14.908 6.213
angles: 90.00 90.00 90.00
Space group Ibam (No. 72)
Symmetry-distinct sites (fractional):
Ac  0.246  0.155  0.000 (multiplicity 8)
Ga  0.236  0.416  0.000 (multiplicity 8)
Ni  0.000  0.500  0.250 (multiplicity 4)
Rh  0.000  0.000  0.250 (multiplicity 4)

## Properties
- E_form (eV per atom) = -0.59


(5)
The following is a GGA-PBE calculation of crystalline AcGaNiRh at its relaxed geometry, from Alexandria.

abc: 7.444 4.299 5.729
angles: 90.00 115.85 90.00
Space group Cm (No. 8)
Symmetry-distinct sites (fractional):
Ac  0.000  0.000  0.000 (multiplicity 2)
Ga  0.001  0.500  0.504 (multiplicity 2)
Ni  0.304  0.500  0.411 (multiplicity 2)
Rh  0.203  0.000  0.610 (multiplicity 2)

## Properties
- E_form (eV per atom) = -0.61


(6)
The following is a GGA-PBE calculation of crystalline AcGa2NiRh at its relaxed geometry, from Alexandria.

abc: 4.327 4.327 10.485
angles: 90.00 90.00 90.00
Space group I-4m2 (No. 119)
Symmetry-distinct sites (fractional):
Ac  0.000  0.000  0.000 (multiplicity 2)
Ga  0.000  0.000  0.364 (multiplicity 4)
Ni  0.000  0.500  0.250 (multiplicity 2)
Rh  0.000  0.500  0.750 (multiplicity 2)

## Properties
- E_form (eV per atom) = -0.62


(7)
The following is a GGA-PBE calculation of crystalline AcGa3NiRh at its relaxed geometry, from Alexandria.

abc: 6.643 11.225 6.721
angles: 90.00 90.00 90.00
Space group Cmcm (No. 63)
Symmetry-distinct sites (fractional):
Ac  0.000  0.243  0.250 (multiplicity 4)
Ga  0.000  0.270  0.750 (multiplicity 4)
Ga  0.244  0.500  0.000 (multiplicity 8)
Ni  0.000  0.470  0.750 (multiplicity 4)
Rh  0.000  0.061  0.750 (multiplicity 4)

## Properties
- E_form (eV per atom) = -0.49


(8)
The following is a GGA-PBE calculation of crystalline AcGa4Ni2Ru at its relaxed geometry, from Alexandria.

abc: 4.1591 4.1591 28.2935
angles: 90.00 90.00 120.00
Space group R-3m (No. 166, hexagonal axes)
Symmetry-distinct sites (fractional):
Ac  0.0000  0.0000  0.0000 (multiplicity 3)
Ga  0.0000  0.0000  0.1327 (multiplicity 6)
Ga  0.0000  0.0000  0.4093 (multiplicity 6)
Ni  0.0000  0.0000  0.2263 (multiplicity 6)
Ru  0.0000  0.0000  0.5000 (multiplicity 3)

## Properties
- E_form (eV per atom) = -0.43


(9)
The following is a GGA-PBE calculation of crystalline AcGa2NiRu at its relaxed geometry, from Alexandria.

abc: 4.329 4.329 10.402
angles: 90.00 90.00 90.00
Space group I-4m2 (No. 119)
Symmetry-distinct sites (fractional):
Ac  0.000  0.000  0.000 (multiplicity 2)
Ga  0.000  0.000  0.364 (multiplicity 4)
Ni  0.000  0.500  0.250 (multiplicity 2)
Ru  0.000  0.500  0.750 (multiplicity 2)

## Properties
- E_form (eV per atom) = -0.47


(10)
The following is a GGA-PBE calculation of crystalline AcScGaNi at its relaxed geometry, from Alexandria.

abc: 7.167 7.167 7.167
angles: 90.00 90.00 90.00
Space group F-43m (No. 216)
Symmetry-distinct sites (fractional):
Ac  0.000  0.000  0.000 (multiplicity 4)
Sc  0.000  0.000  0.500 (multiplicity 4)
Ga  0.250  0.250  0.250 (multiplicity 4)
Ni  0.250  0.250  0.750 (multiplicity 4)

## Properties
- E_form (eV per atom) = -0.23


(11)
The following is a GGA-PBE calculation of crystalline AcGa2SiNi4 at its relaxed geometry, from Alexandria.

abc: 4.0741 4.0741 26.4159
angles: 90.00 90.00 120.00
Space group R-3m (No. 166, hexagonal axes)
Symmetry-distinct sites (fractional):
Ac  0.0000  0.0000  0.0000 (multiplicity 3)
Ga  0.0000  0.0000  0.2380 (multiplicity 6)
Si  0.0000  0.0000  0.5000 (multiplicity 3)
Ni  0.0000  0.0000  0.1398 (multiplicity 6)
Ni  0.0000  0.0000  0.4142 (multiplicity 6)

## Properties
- formation energy from raw total energies (eV/atom) = -0.45


(12)
The following is a GGA-PBE calculation of crystalline AcGa2SiNi at its relaxed geometry, from Alexandria.

abc: 4.277 4.303 10.501
angles: 90.00 90.00 90.00
Space group Imm2 (No. 44)
Symmetry-distinct sites (fractional):
Ac  0.000  0.000  0.000 (multiplicity 2)
Ga  0.000  0.000  0.624 (multiplicity 2)
Ga  0.000  0.500  0.250 (multiplicity 2)
Si  0.000  0.000  0.375 (multiplicity 2)
Ni  0.000  0.500  0.762 (multiplicity 2)

## Properties
- formation energy from raw total energies (eV/atom) = -0.52


(13)
The following is a GGA-PBE calculation of crystalline Ac2GaSiNi6 at its relaxed geometry, from Alexandria.

abc: 6.140 6.143 6.461
angles: 61.81 61.69 60.06
Space group P-1 (No. 2)
Symmetry-distinct sites (fractional):
Ac  0.217  0.217  0.350 (multiplicity 2)
Ga  0.500  0.500  0.500 (multiplicity 1)
Si  0.000  0.000  0.000 (multiplicity 1)
Ni  0.245  0.247  0.861 (multiplicity 2)
Ni  0.246  0.647  0.862 (multiplicity 2)
Ni  0.352  0.756  0.139 (multiplicity 2)

## Properties
- formation energy from raw total energies (eV/atom) = -0.41


(14)
The following is a GGA-PBE calculation of crystalline Ac3Ga2Si2Ni4 at its relaxed geometry, from Alexandria.

abc: 4.1409 4.1409 15.9327
angles: 90.00 90.00 120.00
Space group P-3m1 (No. 164)
Symmetry-distinct sites (fractional):
Ac  0.0000  0.0000  0.0000 (multiplicity 1)
Ac  0.0000  0.0000  0.2807 (multiplicity 2)
Ga  0.3333  0.6667  0.5605 (multiplicity 2)
Si  0.3333  0.6667  0.1404 (multiplicity 2)
Ni  0.3333  0.6667  0.4093 (multiplicity 2)
Ni  0.3333  0.6667  0.8558 (multiplicity 2)

## Properties
- formation energy from raw total energies (eV/atom) = -0.47


(15)
The following is a GGA-PBE calculation of crystalline Ac3GaSi2Ni6 at its relaxed geometry, from Alexandria.

abc: 6.0652 6.0652 7.6523
angles: 90.00 90.00 120.00
Space group P-3m1 (No. 164)
Symmetry-distinct sites (fractional):
Ac  0.0000  0.0000  0.0000 (multiplicity 1)
Ac  0.3333  0.6667  0.7186 (multiplicity 2)
Ga  0.0000  0.0000  0.5000 (multiplicity 1)
Si  0.3333  0.6667  0.1327 (multiplicity 2)
Ni  0.1974  0.3947  0.3661 (multiplicity 6)

## Properties
- formation energy from raw total energies (eV/atom) = -0.34


(16)
The following is a GGA-PBE calculation of crystalline AcGaSiNi6 at its relaxed geometry, from Alexandria.

abc: 5.241 7.659 13.397
angles: 90.00 90.00 90.00
Space group Imma (No. 74)
Symmetry-distinct sites (fractional):
Ac  0.000  0.250  0.002 (multiplicity 4)
Ga  0.000  0.000  0.500 (multiplicity 4)
Si  0.250  0.250  0.750 (multiplicity 4)
Ni  0.000  0.250  0.246 (multiplicity 4)
Ni  0.000  0.250  0.612 (multiplicity 4)
Ni  0.249  0.017  0.340 (multiplicity 16)

## Properties
- formation energy from raw total energies (eV/atom) = -0.23


(17)
The following is a GGA-PBE calculation of crystalline Ac2GaSi4Ni3 at its relaxed geometry, from Alexandria.

abc: 4.201 4.201 10.092
angles: 90.00 90.00 90.00
Space group P-4m2 (No. 115)
Symmetry-distinct sites (fractional):
Ac  0.000  0.500  0.243 (multiplicity 2)
Ga  0.000  0.000  0.500 (multiplicity 1)
Si  0.000  0.000  0.000 (multiplicity 1)
Si  0.000  0.500  0.639 (multiplicity 2)
Si  0.500  0.500  0.000 (multiplicity 1)
Ni  0.000  0.500  0.885 (multiplicity 2)
Ni  0.500  0.500  0.500 (multiplicity 1)

## Properties
- formation energy from raw total energies (eV/atom) = -0.63


(18)
The following is a GGA-PBE calculation of crystalline Ac2GaNi4Sn3 at its relaxed geometry, from Alexandria.

abc: 4.501 4.501 10.370
angles: 90.00 90.00 90.00
Space group P-4m2 (No. 115)
Symmetry-distinct sites (fractional):
Ac  0.000  0.500  0.248 (multiplicity 2)
Ga  0.000  0.000  0.500 (multiplicity 1)
Ni  0.000  0.000  0.000 (multiplicity 1)
Ni  0.000  0.500  0.624 (multiplicity 2)
Ni  0.500  0.500  0.000 (multiplicity 1)
Sn  0.000  0.500  0.877 (multiplicity 2)
Sn  0.500  0.500  0.500 (multiplicity 1)

## Properties
- E_form (eV per atom) = -0.52


(19)
The following is a GGA-PBE calculation of crystalline Ac2GaNi6Sn at its relaxed geometry, from Alexandria.

abc: 6.586 6.595 9.316
angles: 90.00 90.00 90.00
Space group Immm (No. 71)
Symmetry-distinct sites (fractional):
Ac  0.000  0.000  0.250 (multiplicity 4)
Ga  0.000  0.500  0.000 (multiplicity 2)
Ni  0.000  0.500  0.240 (multiplicity 4)
Ni  0.240  0.260  0.000 (multiplicity 8)
Sn  0.000  0.500  0.500 (multiplicity 2)

## Properties
- E_form (eV per atom) = 0.02


(20)
The following is a GGA-PBE calculation of crystalline AcGaNi3Sn at its relaxed geometry, from Alexandria.

abc: 5.566 11.953 6.989
angles: 90.00 90.00 90.00
Space group Cmcm (No. 63)
Symmetry-distinct sites (fractional):
Ac  0.000  0.188  0.250 (multiplicity 4)
Ga  0.000  0.459  0.250 (multiplicity 4)
Ni  0.000  0.341  0.750 (multiplicity 4)
Ni  0.238  0.000  0.000 (multiplicity 8)
Sn  0.000  0.126  0.750 (multiplicity 4)

## Properties
- E_form (eV per atom) = -0.29